# LaSc3Ru | Alexandria via LeMat-Bulk | GGA-PBE | optimized geometry
data_LaSc3Ru
_chemical_formula_sum 'La1 Sc3 Ru1'
_cell_length_a 5.092
_cell_length_b 5.092
_cell_length_c 5.092
_cell_angle_alpha 90.00
_cell_angle_beta 90.00
_cell_angle_gamma 90.00
_space_group_name_H-M_alt 'P m -3 m'
_space_group_IT_number 221
_space_group_name_Hall '-P 4 2 3'
loop_
_atom_site_label
_atom_site_fract_x
_atom_site_fract_y
_atom_site_fract_z
La1 0.000 0.000 0.000
Sc1 0.000 0.500 0.500
Ru1 0.500 0.500 0.500
# Formation enthalpy at 0 K: -0.188 eV per atom
# Size of the total moment: 0.00 μB/f.u.
# Calculated total energy: -0.5019 Ry per atom
# Relative energy among the computed polymorphs: 0.00 eV per formula unit



# LaSc2Ru2 | Alexandria via LeMat-Bulk | GGA-PBE | optimized geometry
data_LaSc2Ru2
_chemical_formula_sum 'La2 Sc4 Ru4'
_cell_length_a 7.843
_cell_length_b 7.843
_cell_length_c 3.284
_cell_angle_alpha 90.00
_cell_angle_beta 90.00
_cell_angle_gamma 90.00
_space_group_name_H-M_alt 'P 4/m b m'
_space_group_IT_number 127
_space_group_name_Hall '-P 4 2ab'
loop_
_atom_site_label
_atom_site_fract_x
_atom_site_fract_y
_atom_site_fract_z
La1 0.000 0.000 0.000
Sc1 0.138 0.362 0.500
Ru1 0.156 0.656 0.000
# Formation enthalpy at 0 K: -0.356 eV per atom
# Size of the total moment: 0.00 μB/f.u.
# Calculated total energy: -0.5574 Ry per atom
# Relative energy among the computed polymorphs: 0.00 eV per formula unit



# La2Sc2Ru | Alexandria via LeMat-Bulk | GGA-PBE | optimized geometry
data_La2Sc2Ru
_chemical_formula_sum 'La4 Sc4 Ru2'
_cell_length_a 3.900
_cell_length_b 3.900
_cell_length_c 17.320
_cell_angle_alpha 90.00
_cell_angle_beta 90.00
_cell_angle_gamma 90.00
_space_group_name_H-M_alt 'I 4/m m m'
_space_group_IT_number 139
_space_group_name_Hall '-I 4 2'
loop_
_atom_site_label
_atom_site_fract_x
_atom_site_fract_y
_atom_site_fract_z
La1 0.000 0.500 0.250
Sc1 0.000 0.000 0.078
Ru1 0.000 0.000 0.500
# Formation enthalpy at 0 K: 0.703 eV per atom
# Size of the total moment: 0.00 μB/f.u.
# Calculated total energy: -0.4157 Ry per atom
# Relative energy among the computed polymorphs: 3.87 eV per formula unit



no.,DOS at the Fermi energy (states/eV/atom)
1,0.992
2,0.477
3,2.672